Record 1
A plane-wave DFT calculation with PBE was carried out for a relaxed TbPr2Hg2 crystal.

Summary:
Calculated formation energy ... -0.292 eV per atom
SG ... Immm (71)
Energy above the lowest structure with this stoichiometry ... 0.074 eV/atom
D(E_F) ... 6.39 states/eV per cell

a = 4.172 Å, b = 6.560 Å, c = 6.560 Å
α = 68.18°, β = 71.46°, γ = 71.46°
Sites, in units of the cell vectors:
1 Tb 0.000 0.000 0.000
2 Pr 0.207 0.293 0.293
3 Pr 0.793 0.707 0.707
4 Hg 0.500 0.294 0.706
5 Hg 0.500 0.706 0.294

=====

Record 2
A plane-wave DFT calculation with PBE was carried out for a relaxed ScTlSiMo2 crystal.

Summary:
SG ... P4/mmm (123)
ΔE_f (raw) ... 1.9975 eV/atom
D(E_F) ... 5.25 states/eV per cell

a = 5.133 Å, b = 5.203 Å, c = 5.133 Å
α = 90.00°, β = 90.00°, γ = 90.00°
Sites, in units of the cell vectors:
1 Sc 0.000 0.500 0.000
2 Tl 0.000 0.000 0.000
3 Si 0.500 0.500 0.500
4 Mo 0.000 0.000 0.500
5 Mo 0.500 0.000 0.000

=====

Record 3
A plane-wave DFT calculation with PBE was carried out for a relaxed CsTl16Hg12 crystal.

Summary:
Calculated formation energy ... -0.016 eV per atom
SG ... Cm (8)
D(E_F) ... 9.85 states/eV per cell

a = 10.584 Å, b = 10.584 Å, c = 10.196 Å
α = 109.29°, β = 109.29°, γ = 109.55°
Sites, in units of the cell vectors:
1 Cs 0.622 0.622 0.265
2 Tl 0.349 0.349 0.353
3 Tl 0.999 0.999 0.963
4 Tl 0.999 0.999 0.617
5 Tl 0.323 0.323 0.770
6 Tl 0.713 0.360 0.973
7 Tl 0.584 0.254 0.583
8 Tl 0.022 0.680 0.361
9 Tl 0.005 0.665 0.011
10 Tl 0.756 0.344 0.338
11 Tl 0.393 0.987 0.707
12 Tl 0.987 0.393 0.707
13 Tl 0.344 0.756 0.338
14 Tl 0.665 0.005 0.011
15 Tl 0.680 0.022 0.361
16 Tl 0.254 0.584 0.583
17 Tl 0.360 0.713 0.973
18 Hg 0.876 0.876 0.175
19 Hg 0.607 0.607 0.855
20 Hg 0.398 0.195 0.024
21 Hg 0.774 0.596 0.647
22 Hg 0.219 0.035 0.422
23 Hg 0.332 0.998 0.176
24 Hg 0.119 0.795 0.758
25 Hg 0.795 0.119 0.758
26 Hg 0.998 0.332 0.176
27 Hg 0.035 0.219 0.422
28 Hg 0.596 0.774 0.647
29 Hg 0.195 0.398 0.024

=====

Record 4
A plane-wave DFT calculation with PBE was carried out for a relaxed Pr3ZnSn2 crystal.

Summary:
Calculated formation energy ... -0.633 eV per atom
SG ... Pnma (62)
D(E_F) ... 22.09 states/eV per cell

a = 4.605 Å, b = 12.251 Å, c = 12.632 Å
α = 90.00°, β = 90.00°, γ = 90.00°
Sites, in units of the cell vectors:
1 Pr 0.250 0.378 0.052
2 Pr 0.750 0.622 0.948
3 Pr 0.750 0.878 0.448
4 Pr 0.250 0.122 0.552
5 Pr 0.250 0.699 0.210
6 Pr 0.750 0.301 0.790
7 Pr 0.750 0.199 0.290
8 Pr 0.250 0.801 0.710
9 Pr 0.250 0.434 0.372
10 Pr 0.750 0.566 0.628
11 Pr 0.750 0.934 0.128
12 Pr 0.250 0.066 0.872
13 Zn 0.250 0.144 0.141
14 Zn 0.750 0.856 0.859
15 Zn 0.750 0.644 0.359
16 Zn 0.250 0.356 0.641
17 Sn 0.250 0.682 0.479
18 Sn 0.750 0.318 0.521
19 Sn 0.750 0.182 0.021
20 Sn 0.250 0.818 0.979
21 Sn 0.250 0.996 0.309
22 Sn 0.750 0.004 0.691
23 Sn 0.750 0.496 0.191
24 Sn 0.250 0.504 0.809

=====

> Number 3 is which compound?

CsTl16Hg12

=====

> What is the D(E_F) in the second record?

5.25 states/eV per cell